Compound: Nd7Sm4Dy
Source: the Alexandria database
Functional: GGA-PBE
Structure: optimized geometry

The space group is C2/m (No. 12) and the conventional cell measures 16.3751, 6.0697 and 9.4341 Å, with angles of 90.00, 115.94 and 90.00 degrees. Symmetry generates all atoms from Nd at (0.0000, 0.0000, 0.0000), Nd at (0.0817, 0.5000, 0.4385), Nd at (0.2078, 0.5000, 0.2256), Nd at (0.2093, 0.5000, 0.8769), Sm at (0.0733, 0.0000, 0.6986), Sm at (0.1731, 0.0000, 0.3893) and Dy at (0.0000, 0.5000, 0.0000).

The value obtained for the calculated formation energy is 0.211 eV per atom.

---

Compound: Tb2DyPu
Source: the Alexandria database
Functional: GGA-PBE
Structure: optimized geometry

The space group is P4/mmm (No. 123) and the conventional cell measures 4.9728, 4.9728 and 4.9660 Å, with angles of 90.00, 90.00 and 90.00 degrees. Symmetry generates all atoms from Tb at (0.0000, 0.5000, 0.0000), Dy at (0.0000, 0.0000, 0.5000) and Pu at (0.5000, 0.5000, 0.5000).

The value obtained for the calculated formation energy is 0.139 eV per atom.

---

Compound: NaMgCdHg3
Source: the Alexandria database
Functional: GGA-PBE
Structure: optimized geometry

The space group is Cmcm (No. 63) and the conventional cell measures 3.4921, 16.2826 and 9.9928 Å, with angles of 90.00, 90.00 and 90.00 degrees. Symmetry generates all atoms from Na at (0.0000, 0.2243, 0.2500), Mg at (0.0000, 0.0000, 0.0000), Cd at (0.0000, 0.4499, 0.7500), Hg at (0.0000, 0.1084, 0.7500) and Hg at (0.0000, 0.3387, 0.5053).

The value obtained for the calculated formation energy is -0.142 eV per atom.